Zn2P2Br after structural relaxation, computed with GGA-PBE.

Results
Mass density, g/cm³: 5.040
D(E_F), states/eV/f.u.: 3.06
Offset from the most stable computed form, meV per atom: 144

Lattice parameters (Å, degrees): 8.245 8.245 2.643 90.00 90.00 90.00
Sites, in units of the cell vectors:
Zn (0.152, 0.348, 0.000)
Zn (0.348, 0.848, 0.000)
Zn (0.652, 0.152, 0.000)
Zn (0.848, 0.652, 0.000)
P (0.138, 0.638, 0.500)
P (0.362, 0.138, 0.500)
P (0.638, 0.862, 0.500)
P (0.862, 0.362, 0.500)
Br (0.000, 0.000, 0.000)
Br (0.500, 0.500, 0.000)

=====

Zn2P2Br after structural relaxation, computed with GGA-PBE.

Results
Mass density, g/cm³: 4.942
D(E_F), states/eV/f.u.: 2.21
Offset from the most stable computed form, meV per atom: 0

Lattice parameters (Å, degrees): 3.719 3.719 13.246 90.00 90.00 90.00
Sites, in units of the cell vectors:
Zn (0.000, 0.000, 0.109)
Zn (0.000, 0.000, 0.891)
Zn (0.500, 0.500, 0.391)
Zn (0.500, 0.500, 0.609)
P (0.000, 0.500, 0.250)
P (0.000, 0.500, 0.750)
P (0.500, 0.000, 0.250)
P (0.500, 0.000, 0.750)
Br (0.000, 0.000, 0.500)
Br (0.500, 0.500, 0.000)

=====

ZnP2Br after structural relaxation, computed with GGA-PBE.

Results
Mass density, g/cm³: 3.292
D(E_F), states/eV/f.u.: 0.75
Offset from the most stable computed form, meV per atom: 15

Lattice parameters (Å, degrees): 4.032 3.391 7.673 90.00 94.72 90.00
Sites, in units of the cell vectors:
Zn (0.000, 0.000, 0.000)
P (0.290, 0.000, 0.284)
P (0.602, 0.500, 0.212)
Br (0.977, 0.500, 0.771)

=====

ZnPBr4 after structural relaxation, computed with GGA-PBE.

Results
Mass density, g/cm³: 3.927
D(E_F), states/eV/f.u.: 6.40

Lattice parameters (Å, degrees): 6.289 6.289 6.289 60.00 60.00 60.00
Sites, in units of the cell vectors:
Zn (0.000, 0.000, 0.000)
P (0.250, 0.250, 0.250)
Br (0.125, 0.625, 0.625)
Br (0.625, 0.125, 0.625)
Br (0.625, 0.625, 0.125)
Br (0.625, 0.625, 0.625)

=====

ZnP2Br after structural relaxation, computed with GGA-PBE.

Results
Mass density, g/cm³: 3.746
D(E_F), states/eV/f.u.: 2.38
Offset from the most stable computed form, meV per atom: 0

Lattice parameters (Å, degrees): 3.488 3.488 26.164 90.00 90.00 120.00
Sites, in units of the cell vectors:
Zn (0.000, 0.000, 0.000)
Zn (0.333, 0.667, 0.667)
Zn (0.667, 0.333, 0.333)
P (0.000, 0.000, 0.264)
P (0.000, 0.000, 0.552)
P (0.333, 0.667, 0.218)
P (0.333, 0.667, 0.930)
P (0.667, 0.333, 0.597)
P (0.667, 0.333, 0.885)
Br (0.000, 0.000, 0.728)
Br (0.333, 0.667, 0.394)
Br (0.667, 0.333, 0.061)

=====

Zr2PBr after structural relaxation, computed with GGA-PBE.

Results
Mass density, g/cm³: 4.965
D(E_F), states/eV/f.u.: 3.75

Lattice parameters (Å, degrees): 4.954 4.954 15.990 90.00 90.00 90.00
Sites, in units of the cell vectors:
Zr (0.216, 0.250, 0.125)
Zr (0.250, 0.716, 0.375)
Zr (0.250, 0.784, 0.875)
Zr (0.284, 0.250, 0.625)
Zr (0.716, 0.750, 0.625)
Zr (0.750, 0.216, 0.875)
Zr (0.750, 0.284, 0.375)
Zr (0.784, 0.750, 0.125)
P (0.000, 0.000, 0.000)
P (0.000, 0.500, 0.250)
P (0.500, 0.000, 0.750)
P (0.500, 0.500, 0.500)
Br (0.000, 0.000, 0.500)
Br (0.000, 0.500, 0.750)
Br (0.500, 0.000, 0.250)
Br (0.500, 0.500, 0.000)

=====

ZrPBr2 after structural relaxation, computed with GGA-PBE.

Results
Mass density, g/cm³: 4.174
D(E_F), states/eV/f.u.: 2.18
Offset from the most stable computed form, meV per atom: 0

Lattice parameters (Å, degrees): 3.785 3.600 8.394 90.00 101.25 90.00
Sites, in units of the cell vectors:
Zr (0.000, 0.000, 0.000)
P (0.525, 0.500, 0.059)
Br (0.150, 0.000, 0.319)
Br (0.880, 0.500, 0.736)

=====

ZrPBr3 after structural relaxation, computed with GGA-PBE.

Results
Mass density, g/cm³: 3.868
D(E_F), states/eV/f.u.: 2.22
Offset from the most stable computed form, meV per atom: 0

Lattice parameters (Å, degrees): 5.376 5.376 5.376 90.00 90.00 90.00
Sites, in units of the cell vectors:
Zr (0.000, 0.000, 0.000)
P (0.500, 0.500, 0.500)
Br (0.000, 0.000, 0.500)
Br (0.000, 0.500, 0.000)
Br (0.500, 0.000, 0.000)

=====

Zr2PBr after structural relaxation, computed with GGA-PBE.

Results
Mass density, g/cm³: 5.996
D(E_F), states/eV/f.u.: 4.68

Lattice parameters (Å, degrees): 6.875 6.875 6.875 90.00 90.00 90.00
Sites, in units of the cell vectors:
Zr (0.000, 0.000, 0.000)
Zr (0.000, 0.500, 0.500)
Zr (0.250, 0.250, 0.250)
Zr (0.250, 0.750, 0.750)
Zr (0.500, 0.000, 0.500)
Zr (0.500, 0.500, 0.000)
Zr (0.750, 0.250, 0.750)
Zr (0.750, 0.750, 0.250)
P (0.000, 0.000, 0.500)
P (0.000, 0.500, 0.000)
P (0.500, 0.000, 0.000)
P (0.500, 0.500, 0.500)
Br (0.250, 0.250, 0.750)
Br (0.250, 0.750, 0.250)
Br (0.750, 0.250, 0.250)
Br (0.750, 0.750, 0.750)

=====

ZrPBr2 after structural relaxation, computed with GGA-PBE.

Results
Mass density, g/cm³: 4.662
D(E_F), states/eV/f.u.: 2.78
Offset from the most stable computed form, meV per atom: 708

Lattice parameters (Å, degrees): 3.240 3.240 9.568 90.00 90.00 90.00
Sites, in units of the cell vectors:
Zr (0.000, 0.000, 0.000)
P (0.000, 0.000, 0.500)
Br (0.500, 0.500, 0.176)
Br (0.500, 0.500, 0.824)

=====

ZrPBr2 after structural relaxation, computed with GGA-PBE.

Results
Mass density, g/cm³: 5.394
D(E_F), states/eV/f.u.: 3.48
Offset from the most stable computed form, meV per atom: 1020

Lattice parameters (Å, degrees): 4.318 4.318 4.657 90.00 90.00 90.00
Sites, in units of the cell vectors:
Zr (0.000, 0.000, 0.000)
P (0.500, 0.500, 0.000)
Br (0.000, 0.500, 0.500)
Br (0.500, 0.000, 0.500)

=====

ZrPBr2 after structural relaxation, computed with GGA-PBE.

Results
Mass density, g/cm³: 4.516
D(E_F), states/eV/f.u.: 3.20
Offset from the most stable computed form, meV per atom: 629

Lattice parameters (Å, degrees): 3.370 3.370 31.622 90.00 90.00 120.00
Sites, in units of the cell vectors:
Zr (0.000, 0.000, 0.000)
Zr (0.333, 0.667, 0.667)
Zr (0.667, 0.333, 0.333)
P (0.000, 0.000, 0.500)
P (0.333, 0.667, 0.167)
P (0.667, 0.333, 0.833)
Br (0.000, 0.000, 0.272)
Br (0.000, 0.000, 0.728)
Br (0.333, 0.667, 0.395)
Br (0.333, 0.667, 0.938)
Br (0.667, 0.333, 0.062)
Br (0.667, 0.333, 0.605)

=====

| no. | formation energy from raw total energies (eV/f.u.) |
| --- | --- |
| 1 | 1.5 |
| 2 | 0.8 |
| 3 | -0.4 |
| 4 | 6.0 |
| 5 | -0.4 |
| 6 | -1.1 |
| 7 | -3.3 |
| 8 | -1.0 |
| 9 | 1.0 |
| 10 | -0.5 |
| 11 | 0.8 |
| 12 | -0.8 |